A.
# Sr3YMg (GGA-PBE, optimized geometry)
# Total magnetization: 0.342 μB per atom
# Calculated density: 2.5 g/cm³
data_Sr3YMg
_chemical_formula_sum 'Sr3 Y1 Mg1'
_cell_length_a 6.311
_cell_length_b 6.311
_cell_length_c 6.311
_cell_angle_alpha 90.00
_cell_angle_beta 90.00
_cell_angle_gamma 90.00
_symmetry_space_group_name_H-M 'P m -3 m'
_symmetry_Int_Tables_number 221
_symmetry_space_group_name_Hall '-P 4 2 3'
loop_
_atom_site_label
_atom_site_type_symbol
_atom_site_fract_x
_atom_site_fract_y
_atom_site_fract_z
Sr1 Sr 0.000 0.000 0.500
Y1 Y 0.500 0.500 0.500
Mg1 Mg 0.000 0.000 0.000

B.
# Sr3YMg (GGA-PBE, optimized geometry)
# Total magnetization: 0.606 μB per atom
# Calculated density: 2.2 g/cm³
data_Sr3YMg
_chemical_formula_sum 'Sr3 Y1 Mg1'
_cell_length_a 6.538
_cell_length_b 6.538
_cell_length_c 6.538
_cell_angle_alpha 90.00
_cell_angle_beta 90.00
_cell_angle_gamma 90.00
_symmetry_space_group_name_H-M 'P m -3 m'
_symmetry_Int_Tables_number 221
_symmetry_space_group_name_Hall '-P 4 2 3'
loop_
_atom_site_label
_atom_site_type_symbol
_atom_site_fract_x
_atom_site_fract_y
_atom_site_fract_z
Sr1 Sr 0.000 0.000 0.500
Y1 Y 0.000 0.000 0.000
Mg1 Mg 0.500 0.500 0.500

Most favorable first, least favorable last: A, B

A.
# SrMg14Zn (GGA-PBE, optimized geometry)
# Total magnetization: 0.000 μB per atom
# Calculated density: 2.1 g/cm³
data_SrMg14Zn
_chemical_formula_sum 'Sr2 Mg28 Zn2'
_cell_length_a 10.415
_cell_length_b 6.346
_cell_length_c 11.663
_cell_angle_alpha 90.00
_cell_angle_beta 90.00
_cell_angle_gamma 90.00
_symmetry_space_group_name_H-M 'A m m 2'
_symmetry_Int_Tables_number 38
loop_
_symmetry_equiv_pos_as_xyz
'x,y,z'
'-x,-y,z'
'-x,y,z'
'x,-y,z'
'x,y+1/2,z+1/2'
'-x,-y+1/2,z+1/2'
'-x,y+1/2,z+1/2'
'x,-y+1/2,z+1/2'
loop_
_atom_site_label
_atom_site_type_symbol
_atom_site_fract_x
_atom_site_fract_y
_atom_site_fract_z
Sr1 Sr 0.000 0.000 0.000
Mg1 Mg 0.000 0.245 0.249
Mg2 Mg 0.228 0.000 0.633
Mg3 Mg 0.257 0.248 0.392
Mg4 Mg 0.265 0.000 0.151
Mg5 Mg 0.500 0.000 0.484
Mg6 Mg 0.500 0.000 0.982
Mg7 Mg 0.500 0.243 0.731
Zn1 Zn 0.000 0.000 0.461

B.
# SrMg14Zn (GGA-PBE, optimized geometry)
# Total magnetization: 0.000 μB per atom
# Calculated density: 2.1 g/cm³
data_SrMg14Zn
_chemical_formula_sum 'Sr1 Mg14 Zn1'
_cell_length_a 6.5210
_cell_length_b 6.5210
_cell_length_c 10.4675
_cell_angle_alpha 90.00
_cell_angle_beta 90.00
_cell_angle_gamma 120.00
_symmetry_space_group_name_H-M 'P -6 m 2'
_symmetry_Int_Tables_number 187
_symmetry_space_group_name_Hall 'P -6 2'
loop_
_atom_site_label
_atom_site_type_symbol
_atom_site_fract_x
_atom_site_fract_y
_atom_site_fract_z
Sr1 Sr 0.0000 0.0000 0.0000
Mg1 Mg 0.0127 0.5064 0.0000
Mg2 Mg 0.1665 0.3331 0.2658
Mg3 Mg 0.5042 0.0085 0.5000
Mg4 Mg 0.6667 0.3333 0.2387
Zn1 Zn 0.0000 0.0000 0.5000

Most favorable first, least favorable last: A, B

A.
# Sr2MgZn3 (GGA-PBE, optimized geometry)
# Total magnetization: 0.000 μB per atom
# Calculated density: 4.0 g/cm³
data_Sr2MgZn3
_chemical_formula_sum 'Sr16 Mg8 Zn24'
_cell_length_a 8.562
_cell_length_b 9.461
_cell_length_c 16.330
_cell_angle_alpha 90.00
_cell_angle_beta 90.00
_cell_angle_gamma 90.00
_symmetry_space_group_name_H-M 'F m m m'
_symmetry_Int_Tables_number 69
_symmetry_space_group_name_Hall '-F 2 2'
loop_
_atom_site_label
_atom_site_type_symbol
_atom_site_fract_x
_atom_site_fract_y
_atom_site_fract_z
Sr1 Sr 0.247 0.000 0.000
Sr2 Sr 0.250 0.250 0.250
Mg1 Mg 0.000 0.000 0.334
Zn1 Zn 0.000 0.000 0.162
Zn2 Zn 0.000 0.242 0.081

B.
# Sr2MgZn3 (GGA-PBE, optimized geometry)
# Total magnetization: 0.000 μB per atom
# Calculated density: 3.9 g/cm³
data_Sr2MgZn3
_chemical_formula_sum 'Sr4 Mg2 Zn6'
_cell_length_a 4.488
_cell_length_b 4.674
_cell_length_c 16.057
_cell_angle_alpha 90.00
_cell_angle_beta 90.00
_cell_angle_gamma 90.00
_symmetry_space_group_name_H-M 'I m m 2'
_symmetry_Int_Tables_number 44
loop_
_symmetry_equiv_pos_as_xyz
'x,y,z'
'-x,-y,z'
'-x,y,z'
'x,-y,z'
'x+1/2,y+1/2,z+1/2'
'-x+1/2,-y+1/2,z+1/2'
'-x+1/2,y+1/2,z+1/2'
'x+1/2,-y+1/2,z+1/2'
loop_
_atom_site_label
_atom_site_type_symbol
_atom_site_fract_x
_atom_site_fract_y
_atom_site_fract_z
Sr1 Sr 0.000 0.000 0.000
Sr2 Sr 0.000 0.500 0.267
Mg1 Mg 0.000 0.000 0.593
Zn1 Zn 0.000 0.000 0.420
Zn2 Zn 0.000 0.500 0.682
Zn3 Zn 0.000 0.500 0.843

Most favorable first, least favorable last: B, A

A.
# SrMg4Zn (GGA-PBE, optimized geometry)
# Total magnetization: 0.000 μB per atom
# Calculated density: 2.6 g/cm³
data_SrMg4Zn
_chemical_formula_sum 'Sr4 Mg16 Zn4'
_cell_length_a 8.638
_cell_length_b 8.638
_cell_length_c 8.638
_cell_angle_alpha 90.00
_cell_angle_beta 90.00
_cell_angle_gamma 90.00
_symmetry_space_group_name_H-M 'F -4 3 m'
_symmetry_Int_Tables_number 216
_symmetry_space_group_name_Hall 'F -4 2 3'
loop_
_atom_site_label
_atom_site_type_symbol
_atom_site_fract_x
_atom_site_fract_y
_atom_site_fract_z
Sr1 Sr 0.000 0.000 0.000
Mg1 Mg 0.124 0.124 0.376
Zn1 Zn 0.250 0.250 0.750

B.
# SrMg4Zn (GGA-PBE, optimized geometry)
# Total magnetization: 0.000 μB per atom
# Calculated density: 2.7 g/cm³
data_SrMg4Zn
_chemical_formula_sum 'Sr2 Mg8 Zn2'
_cell_length_a 8.728
_cell_length_b 4.436
_cell_length_c 7.993
_cell_angle_alpha 90.00
_cell_angle_beta 90.00
_cell_angle_gamma 90.00
_symmetry_space_group_name_H-M 'P m m a'
_symmetry_Int_Tables_number 51
loop_
_symmetry_equiv_pos_as_xyz
'x,y,z'
'-x,-y,-z'
'-x+1/2,-y,z'
'x+1/2,y,-z'
'x+1/2,-y,-z'
'-x+1/2,y,z'
'-x,y,-z'
'x,-y,z'
loop_
_atom_site_label
_atom_site_type_symbol
_atom_site_fract_x
_atom_site_fract_y
_atom_site_fract_z
Sr1 Sr 0.250 0.000 0.106
Mg1 Mg 0.000 0.000 0.500
Mg2 Mg 0.062 0.500 0.795
Mg3 Mg 0.250 0.500 0.456
Zn1 Zn 0.250 0.000 0.703

Most favorable first, least favorable last: B, A